Entry 1:
## CaCo2Re (PBE-GGA)

Data for a relaxed CaCo2Re crystal.

- Crystal system: tetragonal

Lattice parameters (Å, degrees): 2.931 2.931 7.312 90.00 90.00 90.00
Space group P4mm (No. 99)
One atom of each set of equivalent atoms:
Ca1 0.000 0.000 0.000 [1 per cell]
Co1 0.000 0.000 0.462 [1 per cell]
Co2 0.500 0.500 0.310 [1 per cell]
Re1 0.500 0.500 0.671 [1 per cell]



Entry 2:
## Ca2CoRe (PBE-GGA)

Data for a relaxed Ca2CoRe crystal.

- Crystal system: cubic

Lattice parameters (Å, degrees): 6.787 6.787 6.787 90.00 90.00 90.00
Space group F-43m (No. 216)
One atom of each set of equivalent atoms:
Ca1 0.000 0.000 0.000 [4 per cell]
Ca2 0.250 0.250 0.250 [4 per cell]
Co1 0.000 0.000 0.500 [4 per cell]
Re1 0.250 0.250 0.750 [4 per cell]



Entry 3:
## CaCo2Re (PBE-GGA)

Data for a relaxed CaCo2Re crystal.

- Crystal system: orthorhombic

Lattice parameters (Å, degrees): 2.678 4.479 9.850 90.00 90.00 90.00
Space group Imm2 (No. 44)
One atom of each set of equivalent atoms:
Ca1 0.000 0.000 0.000 [2 per cell]
Co1 0.000 0.000 0.495 [2 per cell]
Co2 0.000 0.500 0.779 [2 per cell]
Re1 0.000 0.500 0.210 [2 per cell]



Entry 4:
## Ca2CoRe (PBE-GGA)

Data for a relaxed Ca2CoRe crystal.

- Crystal system: monoclinic

Lattice parameters (Å, degrees): 2.823 4.639 5.953 90.00 95.90 90.00
Space group P2/m (No. 10)
One atom of each set of equivalent atoms:
Ca1 0.029 0.000 0.252 [2 per cell]
Co1 0.500 0.500 0.500 [1 per cell]
Re1 0.500 0.500 0.000 [1 per cell]



Entry 5:
## CaCoRe3 (PBE-GGA)

Data for a relaxed CaCoRe3 crystal.

- Crystal system: cubic

Lattice parameters (Å, degrees): 4.529 4.529 4.529 90.00 90.00 90.00
Space group Pm-3m (No. 221)
One atom of each set of equivalent atoms:
Ca1 0.000 0.000 0.000 [1 per cell]
Co1 0.500 0.500 0.500 [1 per cell]
Re1 0.000 0.500 0.500 [3 per cell]



Entry 6:
## CaCoRe (PBE-GGA)

Data for a relaxed CaCoRe crystal.

- Crystal system: hexagonal

Lattice parameters (Å, degrees): 3.9070 3.9070 9.4235 90.00 90.00 120.00
Space group P6_3/mmc (No. 194)
One atom of each set of equivalent atoms:
Ca1 0.0000 0.0000 0.0000 [2 per cell]
Co1 0.3333 0.6667 0.2500 [2 per cell]
Re1 0.3333 0.6667 0.7500 [2 per cell]



Number 1: total moment 2.59 μB per cell, formation energy from the elements 0.45 eV per atom. Number 2: total moment 12.21 μB per cell, formation energy from the elements 0.83 eV per atom. Number 3: total moment 0.01 μB per cell, formation energy from the elements 0.47 eV per atom. Number 4: total moment 1.37 μB per cell, formation energy from the elements 0.82 eV per atom. Number 5: total moment 0.00 μB per cell, formation energy from the elements 1.37 eV per atom. Number 6: total moment 0.00 μB per cell, formation energy from the elements 0.46 eV per atom.